First-principles (PBE) data for a relaxed structure of CsSeBr4, as listed in the Alexandria database.

Cell: 7.3849 10.8683 7.5150 Å, 90.00 98.37 90.00°
Fractional coordinates of all 12 atoms:
Cs 0.2234 0.2500 0.2059
Cs 0.7766 0.7500 0.7941
Se 0.3215 0.7500 0.3285
Se 0.6785 0.2500 0.6715
Br 0.1159 0.5774 0.1182
Br 0.1159 0.9226 0.1182
Br 0.2575 0.7500 0.6471
Br 0.3514 0.2500 0.7234
Br 0.6486 0.7500 0.2766
Br 0.7425 0.2500 0.3529
Br 0.8841 0.0774 0.8818
Br 0.8841 0.4226 0.8818

Summary:
Total magnetic moment = 0.000 μB per atom
Offset from the most stable computed form = 59 meV/atom
Fermi-level density of states = 0.245 states/eV per atom